[1]
First-principles (PBEsol) data for a geometry-optimized CsSb2TeC structure, as listed in Alexandria.

Computed properties:
Fermi-level density of states: 4.1 states/eV/cell
final energy: -19.292 eV for the cell shown

a = 5.0253 Å, b = 5.0253 Å, c = 5.0936 Å
α = 90.00°, β = 90.00°, γ = 90.00°
Space group P4/mmm (No. 123)
Unique sites:
1 Cs 0.0000 0.0000 0.0000 x1
2 Sb 0.0000 0.5000 0.5000 x2
3 Te 0.5000 0.5000 0.0000 x1
4 C 0.5000 0.5000 0.5000 x1

***

[2]
First-principles (PBEsol) data for a geometry-optimized CsScTlC2 structure, as listed in Alexandria.

Computed properties:
Fermi-level density of states: 2.0 states/eV/cell
formation energy: 835 kJ/mol of formula units

a = 4.5005 Å, b = 4.5005 Å, c = 5.6334 Å
α = 90.00°, β = 90.00°, γ = 90.00°
Space group P4/mmm (No. 123)
Unique sites:
1 Cs 0.0000 0.0000 0.0000 x1
2 Sc 0.0000 0.0000 0.5000 x1
3 Tl 0.5000 0.5000 0.0000 x1
4 C 0.0000 0.5000 0.5000 x2

***

[3]
First-principles (PBEsol) data for a geometry-optimized CsCSe2 structure, as listed in Alexandria.

Computed properties:
Fermi-level density of states: 5.2 states/eV/cell
final energy: -51.214 eV for the cell shown

a = 6.0863 Å, b = 6.0863 Å, c = 16.2971 Å
α = 90.00°, β = 90.00°, γ = 120.00°
Space group R-3m (No. 166, hexagonal axes)
Unique sites:
1 Cs 0.0000 0.0000 0.0000 x3
2 C 0.0000 0.0000 0.5000 x3
3 Se 0.0000 0.0000 0.3925 x6

***

[4]
First-principles (PBEsol) data for a geometry-optimized CsSrC3 structure, as listed in Alexandria.

Computed properties:
Fermi-level density of states: 1.2 states/eV/cell
formation energy: 1406 kJ/mol of formula units

a = 5.3676 Å, b = 5.3676 Å, c = 5.3676 Å
α = 90.00°, β = 90.00°, γ = 90.00°
Space group Pm-3m (No. 221)
Unique sites:
1 Cs 0.0000 0.0000 0.0000 x1
2 Sr 0.5000 0.5000 0.5000 x1
3 C 0.0000 0.5000 0.5000 x3

***

Question: What is the Fermi-level density of states in the second record?
Answer: 2.0 states/eV/cell

***

Question: The lowest Fermi-level density of states belongs to which entry?
Answer: CsSrC3